Here is Tb6Dy3Ho2Zr after structural relaxation from the Alexandria database. Energies are from GGA-PBE. Values from VASP.

```
&SYSTEM
  ibrav = 0, nat = 12, ntyp = 4
/
ATOMIC_SPECIES
Dy 162.50 Dy.upf
Tb 158.93 Tb.upf
Zr 91.22 Zr.upf
Ho 164.93 Ho.upf
ATOMIC_POSITIONS angstrom
Dy 1.0137 1.7551 5.7359
Dy 4.0556 -0.0017 5.7359
Dy -2.0283 3.5120 5.7359
Tb 1.9892 -0.0004 2.8072
Tb 0.0381 3.5107 8.6646
Tb 2.0504 3.5503 2.8090
Tb 3.0218 1.7875 8.6646
Tb -0.0231 -0.0400 8.6628
Tb -0.9945 1.7228 2.8072
Zr 0.0000 0.0000 0.0000
Ho 3.0453 1.7587 0.0082
Ho 0.0015 3.5167 0.0082
CELL_PARAMETERS angstrom
6.0832 0.0042 0.0082
-3.0365 5.2712 0.0082
-1.0194 -1.7652 11.4555
```

Values from the calculation:
- E (eV/atom) = -4.90

***

Here is Tb8HoMg2 after structural relaxation from the Alexandria database. Energies are from GGA-PBE. Values from VASP.

```
&SYSTEM
  ibrav = 0, nat = 11, ntyp = 3
/
ATOMIC_SPECIES
Tb 158.93 Tb.upf
Mg 24.30 Mg.upf
Ho 164.93 Ho.upf
ATOMIC_POSITIONS angstrom
Tb 2.5807 3.5549 -0.6697
Tb 1.3864 0.2110 4.8228
Tb 0.4845 1.4733 1.6855
Tb 4.3475 1.8047 5.4763
Tb -0.4266 5.6248 -1.4839
Tb 2.5345 7.2185 -0.8304
Tb 1.3402 3.8746 4.6621
Tb 3.4364 5.9563 2.3069
Mg 3.4674 2.7181 2.4146
Mg 0.4536 4.7114 1.5778
Ho 2.5616 0.0000 -0.7364
CELL_PARAMETERS angstrom
5.1231 0.0000 -1.4727
-0.9311 7.6922 -3.2392
-0.2711 -0.2627 8.7044
```

Values from the calculation:
- E above lowest polymorph (kJ per mole of atoms) = 0.0
- E (eV/atom) = -4.06